Record 1
DFT (PBE-GGA) results for a relaxed Sr2Re2Bi crystal.

Unit cell a=9.482 b=9.482 c=2.874 alpha=90.00 beta=90.00 gamma=90.00
Positions (direct):
Re  0.174  0.674  0.500
Re  0.674  0.826  0.500
Re  0.826  0.326  0.500
Re  0.326  0.174  0.500
Bi  0.000  0.000  0.000
Bi  0.500  0.500  0.000
Sr  0.374  0.874  0.000
Sr  0.874  0.626  0.000
Sr  0.626  0.126  0.000
Sr  0.126  0.374  0.000

## Properties
**Volume**: 258.4 Å³ per cell
**Energy of formation**: 1.449 eV/atom
**Space-group type**: No. 127
**VASP energy**: -49.79 eV/cell
**Offset from the most stable computed form**: 1.2775 eV per atom

Record 2
DFT (PBE-GGA) results for a relaxed SrRe3Bi crystal.

Unit cell a=4.912 b=4.912 c=4.912 alpha=90.00 beta=90.00 gamma=90.00
Site moments in Bohr magnetons follow the coordinates.
Positions (direct):
Re  0.000  0.500  0.000  0.73
Re  0.000  0.000  0.500  0.70
Re  0.500  0.000  0.000  0.82
Bi  0.500  0.500  0.500  -0.10
Sr  0.000  0.000  0.000  -0.02

## Properties
**Volume**: 118.5 Å³ per cell
**Energy of formation**: 3.465 eV/atom
**Space-group type**: No. 221
**VASP energy**: -25.58 eV/cell
**Offset from the most stable computed form**: 1.0014 eV per atom

Record 3
DFT (PBE-GGA) results for a relaxed Sr2Re2Bi crystal.

Unit cell a=3.631 b=3.631 c=10.745 alpha=80.27 beta=80.27 gamma=90.00
Positions (direct):
Re  0.750  0.250  0.500
Re  0.250  0.750  0.500
Bi  0.000  0.000  0.000
Sr  0.381  0.381  0.238
Sr  0.619  0.619  0.762

## Properties
**Volume**: 137.6 Å³ per cell
**Energy of formation**: 0.172 eV/atom
**Space-group type**: No. 139
**VASP energy**: -31.28 eV/cell
**Offset from the most stable computed form**: 0.0000 eV per atom

Which formula does entry 3 have?
Sr2Re2Bi